1.
Li4NdHg (PBE, optimized geometry); crystal system = cubic; ρ = 5.2 g cm⁻³; space-group type = F-43m; energy relative to the elements = -0.119 eV per atom
1.0
0.000 3.907 3.907
3.907 0.000 3.907
3.907 3.907 0.000
Li Nd Hg
4 1 1
Cartesian
0.959 0.959 0.959 Li
2.949 2.949 0.959 Li
2.949 0.959 2.949 Li
0.959 2.949 2.949 Li
3.907 3.907 3.907 Nd
5.861 5.861 5.861 Hg

2.
Li2NdHg (PBE, optimized geometry); crystal system = cubic; ρ = 7.1 g cm⁻³; space-group type = Fm-3m; energy relative to the elements = -0.185 eV per atom
1.0
0.000 3.477 3.477
3.477 0.000 3.477
3.477 3.477 0.000
Li Nd Hg
2 1 1
Cartesian
1.738 1.738 1.738 Li
5.215 5.215 5.215 Li
0.000 0.000 0.000 Nd
3.477 3.477 3.477 Hg

3.
Li3NdHg2 (PBE, optimized geometry); crystal system = monoclinic; ρ = 7.3 g cm⁻³; space-group type = C2/m; energy relative to the elements = -0.309 eV per atom
1.0
7.491 -2.131 0.000
7.491 2.131 0.000
-5.264 0.000 8.095
Li Nd Hg
6 2 4
Cartesian
-1.218 0.000 3.326 Li
1.728 0.000 3.378 Li
4.691 0.000 2.583 Li
5.026 0.000 5.512 Li
7.989 0.000 4.716 Li
10.935 0.000 4.769 Li
1.868 0.000 0.005 Nd
7.849 0.000 8.089 Nd
-0.917 0.000 6.058 Hg
2.245 0.000 6.271 Hg
7.472 0.000 1.824 Hg
10.634 0.000 2.037 Hg

4.
Li6NdHg6 (PBE, optimized geometry); crystal system = orthorhombic; ρ = 8.9 g cm⁻³; space-group type = Immm; energy relative to the elements = -0.322 eV per atom
1.0
-2.721 4.787 4.989
2.721 -4.787 4.989
2.721 4.787 -4.989
Li Nd Hg
6 1 6
Cartesian
1.360 2.393 -2.494 Li
1.360 -2.393 2.494 Li
0.000 2.342 0.000 Li
-1.360 2.393 2.494 Li
1.360 2.393 2.494 Li
0.000 7.231 0.000 Li
2.721 0.000 0.000 Nd
0.000 0.000 1.751 Hg
2.721 3.225 0.000 Hg
2.721 0.000 3.389 Hg
0.000 4.787 1.600 Hg
0.000 1.562 4.989 Hg
0.000 0.000 8.226 Hg

5.
Li2NdHg (PBE, optimized geometry); crystal system = orthorhombic; ρ = 6.4 g cm⁻³; space-group type = Cmcm; energy relative to the elements = -0.215 eV per atom
1.0
2.397 -5.234 0.000
2.397 5.234 0.000
0.000 0.000 7.438
Li Nd Hg
4 2 2
Cartesian
2.397 3.782 4.169 Li
2.397 3.782 6.988 Li
2.397 -3.782 0.450 Li
2.397 -3.782 3.269 Li
2.397 0.786 5.578 Nd
2.397 -0.786 1.859 Nd
2.397 2.295 1.859 Hg
2.397 -2.295 5.578 Hg

6.
Li4NdHg12 (PBE, optimized geometry); crystal system = cubic; ρ = 10.2 g cm⁻³; space-group type = Im-3; energy relative to the elements = -0.128 eV per atom
1.0
-4.718 4.718 4.718
4.718 -4.718 4.718
4.718 4.718 -4.718
Li Nd Hg
4 1 12
Cartesian
2.359 2.359 -2.359 Li
2.359 -2.359 2.359 Li
-2.359 2.359 2.359 Li
2.359 2.359 2.359 Li
0.000 0.000 0.000 Nd
3.223 1.497 0.000 Hg
6.213 1.497 0.000 Hg
4.718 -1.495 3.222 Hg
3.222 4.718 -1.495 Hg
1.497 0.000 3.223 Hg
0.000 3.223 1.497 Hg
4.718 1.495 3.222 Hg
3.222 4.718 1.495 Hg
1.497 0.000 6.213 Hg
0.000 6.213 1.497 Hg
-1.495 3.222 4.718 Hg
1.495 3.222 4.718 Hg

7.
Li3Nd2Hg3 (PBE, optimized geometry); crystal system = hexagonal; ρ = 7.1 g cm⁻³; space-group type = P6_3/mcm; energy relative to the elements = -0.264 eV per atom
1.0
8.646 0.000 0.000
-4.323 7.488 0.000
0.000 0.000 6.617
Li Nd Hg
6 4 6
Cartesian
-1.155 2.000 1.654 Li
-3.168 5.488 4.963 Li
2.309 0.000 1.654 Li
1.155 2.000 4.963 Li
6.337 0.000 4.963 Li
3.168 5.488 1.654 Li
0.000 4.992 0.000 Nd
0.000 4.992 3.309 Nd
4.323 2.496 0.000 Nd
4.323 2.496 3.309 Nd
-1.568 2.716 4.963 Hg
-2.755 4.771 1.654 Hg
3.137 0.000 4.963 Hg
1.568 2.716 1.654 Hg
5.509 0.000 1.654 Hg
2.755 4.771 4.963 Hg

8.
Li3NdHg9 (PBE, optimized geometry); crystal system = monoclinic; ρ = 11.4 g cm⁻³; space-group type = C2/m; energy relative to the elements = -0.240 eV per atom
1.0
2.868 -7.170 0.000
2.868 7.170 0.000
-2.824 0.000 6.974
Li Nd Hg
3 1 9
Cartesian
0.000 0.000 0.000 Li
0.022 3.585 3.487 Li
0.022 -3.585 3.487 Li
-1.412 0.000 3.487 Nd
1.397 4.643 1.230 Hg
1.292 1.565 2.024 Hg
1.516 4.643 5.744 Hg
1.292 -1.565 2.024 Hg
2.868 0.000 0.000 Hg
1.620 1.565 4.949 Hg
1.397 -4.643 1.230 Hg
1.620 -1.565 4.949 Hg
1.516 -4.643 5.744 Hg

9.
Li2Nd3Hg5 (PBE, optimized geometry); crystal system = tetragonal; ρ = 10.0 g cm⁻³; space-group type = P4/mbm; energy relative to the elements = -0.412 eV per atom
1.0
11.018 0.000 0.000
0.000 11.018 0.000
0.000 0.000 3.966
Li Nd Hg
4 6 10
Cartesian
1.273 4.236 0.000 Li
4.236 9.745 0.000 Li
6.782 1.273 0.000 Li
9.745 6.782 0.000 Li
0.000 0.000 0.000 Nd
1.966 7.475 0.000 Nd
3.543 1.966 0.000 Nd
5.509 5.509 0.000 Nd
7.475 9.052 0.000 Nd
9.052 3.543 0.000 Nd
0.000 5.509 1.983 Hg
0.709 2.388 1.983 Hg
2.388 10.309 1.983 Hg
3.121 4.800 1.983 Hg
4.800 7.897 1.983 Hg
5.509 0.000 1.983 Hg
6.218 3.121 1.983 Hg
7.897 6.218 1.983 Hg
8.630 0.709 1.983 Hg
10.309 8.630 1.983 Hg

10.
Li4Nd9Hg11 (PBE, optimized geometry); crystal system = orthorhombic; ρ = 9.6 g cm⁻³; space-group type = Cmmm; energy relative to the elements = -0.367 eV per atom
1.0
7.754 -11.134 0.000
7.754 11.134 0.000
0.000 0.000 3.538
Li Nd Hg
4 9 11
Cartesian
2.267 2.226 0.000 Li
2.267 -2.226 0.000 Li
13.240 2.226 0.000 Li
13.240 -2.226 0.000 Li
0.000 0.000 0.000 Nd
6.029 5.656 0.000 Nd
5.561 1.696 0.000 Nd
9.478 5.656 0.000 Nd
5.561 -1.696 0.000 Nd
9.947 1.696 0.000 Nd
6.029 -5.656 0.000 Nd
9.947 -1.696 0.000 Nd
9.478 -5.656 0.000 Nd
3.932 3.869 1.769 Hg
7.754 8.135 1.769 Hg
3.036 0.000 1.769 Hg
7.754 3.445 1.769 Hg
3.932 -3.869 1.769 Hg
7.754 0.000 1.769 Hg
11.575 3.869 1.769 Hg
7.754 -3.445 1.769 Hg
12.471 0.000 1.769 Hg
7.754 -8.135 1.769 Hg
11.575 -3.869 1.769 Hg

11.
Li5NdHg4 (PBE, optimized geometry); crystal system = tetragonal; ρ = 8.1 g cm⁻³; space-group type = P4/mmm; energy relative to the elements = -0.275 eV per atom
1.0
3.434 0.000 0.000
0.000 3.434 0.000
0.000 0.000 17.096
Li Nd Hg
5 1 4
Cartesian
0.000 0.000 0.000 Li
0.000 0.000 3.182 Li
0.000 0.000 6.178 Li
0.000 0.000 10.917 Li
0.000 0.000 13.914 Li
1.717 1.717 8.548 Nd
1.717 1.717 1.624 Hg
1.717 1.717 4.868 Hg
1.717 1.717 12.228 Hg
1.717 1.717 15.472 Hg

12.
Li2Nd3Hg6 (PBE, optimized geometry); crystal system = tetragonal; ρ = 9.9 g cm⁻³; space-group type = I4/mmm; energy relative to the elements = -0.326 eV per atom
1.0
-2.372 2.372 12.280
2.372 -2.372 12.280
2.372 2.372 -12.280
Li Nd Hg
2 3 6
Cartesian
0.000 0.000 1.266 Li
0.000 0.000 23.294 Li
0.000 0.000 7.525 Nd
0.000 0.000 12.280 Nd
0.000 0.000 17.035 Nd
2.372 0.000 2.365 Hg
0.000 0.000 4.433 Hg
2.372 0.000 9.915 Hg
0.000 2.372 2.365 Hg
0.000 0.000 20.127 Hg
0.000 2.372 9.915 Hg